A plane-wave DFT calculation with PBE was carried out for a relaxed structure of Bi2Pt2Pb. Values from VASP.

```
&SYSTEM
  ibrav = 0, nat = 5, ntyp = 3
/
ATOMIC_SPECIES
Pt 195.08 Pt.upf
Bi 208.98 Bi.upf
Pb 207.20 Pb.upf
CELL_PARAMETERS angstrom
4.970 0.000 0.000
0.000 4.970 0.000
2.485 2.485 5.306
ATOMIC_POSITIONS crystal
Pt 0.376 0.376 0.247
Pt 0.624 0.624 0.753
Bi 0.750 0.250 0.500
Bi 0.250 0.750 0.500
Pb 0.000 0.000 0.000
```

---

A plane-wave DFT calculation with PBE was carried out for a relaxed structure of Bi2Pt2Pb. Values from VASP.

```
&SYSTEM
  ibrav = 0, nat = 5, ntyp = 3
/
ATOMIC_SPECIES
Bi 208.98 Bi.upf
Pt 195.08 Pt.upf
Pb 207.20 Pb.upf
CELL_PARAMETERS angstrom
-1.554 0.320 -3.863
-2.987 -2.626 -1.274
-7.485 4.640 1.137
ATOMIC_POSITIONS crystal
Bi 0.218 0.718 0.344
Bi 0.782 0.282 0.656
Pt 0.393 0.893 0.821
Pt 0.607 0.107 0.179
Pb 0.000 0.500 0.000
```

---

A plane-wave DFT calculation with PBE was carried out for a relaxed structure of BiPtPb4. Values from VASP.

```
&SYSTEM
  ibrav = 0, nat = 12, ntyp = 3
/
ATOMIC_SPECIES
Pb 207.20 Pb.upf
Pt 195.08 Pt.upf
Bi 208.98 Bi.upf
CELL_PARAMETERS angstrom
-4.458 -3.952 -0.190
6.690 -3.392 5.328
-3.970 6.629 2.897
ATOMIC_POSITIONS crystal
Pb 0.788 0.716 0.663
Pb 0.708 0.357 0.152
Pb 0.944 0.794 0.152
Pb 0.292 0.643 0.848
Pb 0.626 0.054 0.337
Pb 0.212 0.284 0.337
Pb 0.056 0.206 0.848
Pb 0.374 0.946 0.663
Pt 0.257 0.007 0.015
Pt 0.743 0.993 0.985
Bi 0.373 0.623 0.246
Bi 0.627 0.377 0.754
```

---

A plane-wave DFT calculation with PBE was carried out for a relaxed structure of BiPt2Pb2. Values from VASP.

```
&SYSTEM
  ibrav = 0, nat = 10, ntyp = 3
/
ATOMIC_SPECIES
Pb 207.20 Pb.upf
Pt 195.08 Pt.upf
Bi 208.98 Bi.upf
CELL_PARAMETERS angstrom
7.884 0.000 0.000
0.000 7.884 0.000
0.000 0.000 3.794
ATOMIC_POSITIONS crystal
Pb 0.162 0.662 0.500
Pb 0.662 0.838 0.500
Pb 0.838 0.338 0.500
Pb 0.338 0.162 0.500
Pt 0.633 0.133 0.000
Pt 0.133 0.367 0.000
Pt 0.367 0.867 0.000
Pt 0.867 0.633 0.000
Bi 0.500 0.500 0.000
Bi 0.000 0.000 0.000
```

---

A plane-wave DFT calculation with PBE was carried out for a relaxed structure of Bi12Pt4Pb. Values from VASP.

```
&SYSTEM
  ibrav = 0, nat = 17, ntyp = 3
/
ATOMIC_SPECIES
Bi 208.98 Bi.upf
Pt 195.08 Pt.upf
Pb 207.20 Pb.upf
CELL_PARAMETERS angstrom
-4.819 -3.925 6.051
8.005 -3.341 0.064
0.401 8.499 1.687
ATOMIC_POSITIONS crystal
Bi 0.664 0.507 0.843
Bi 0.157 0.664 0.822
Bi 0.664 0.822 0.157
Bi 0.178 0.843 0.336
Bi 0.336 0.493 0.157
Bi 0.157 0.336 0.493
Bi 0.507 0.843 0.664
Bi 0.493 0.157 0.336
Bi 0.822 0.157 0.664
Bi 0.336 0.178 0.843
Bi 0.843 0.664 0.507
Bi 0.843 0.336 0.178
Pt 0.500 0.000 0.000
Pt 0.000 0.500 0.000
Pt 0.500 0.500 0.500
Pt 0.000 0.000 0.500
Pb 0.000 0.000 0.000
```

---

A plane-wave DFT calculation with PBE was carried out for a relaxed structure of Bi5Pt3Pb. Values from VASP.

```
&SYSTEM
  ibrav = 0, nat = 18, ntyp = 3
/
ATOMIC_SPECIES
Pt 195.08 Pt.upf
Bi 208.98 Bi.upf
Pb 207.20 Pb.upf
CELL_PARAMETERS angstrom
-2.959 -2.276 -1.947
-0.276 -4.278 5.421
-12.073 9.578 7.148
ATOMIC_POSITIONS crystal
Pt 0.500 0.502 0.836
Pt 0.500 0.498 0.164
Pt 0.000 0.000 0.000
Pt 0.500 0.500 0.500
Pt 0.000 0.004 0.335
Pt 0.000 0.996 0.665
Bi 0.000 0.633 0.594
Bi 0.500 0.139 0.240
Bi 0.500 0.134 0.904
Bi 0.500 0.864 0.428
Bi 0.500 0.861 0.760
Bi 0.000 0.639 0.928
Bi 0.500 0.866 0.096
Bi 0.000 0.367 0.406
Bi 0.000 0.361 0.072
Bi 0.500 0.136 0.572
Pb 0.000 0.644 0.259
Pb 0.000 0.356 0.741
```

---

A plane-wave DFT calculation with PBE was carried out for a relaxed structure of Bi3Pt2Pb. Values from VASP.

```
&SYSTEM
  ibrav = 0, nat = 6, ntyp = 3
/
ATOMIC_SPECIES
Bi 208.98 Bi.upf
Pt 195.08 Pt.upf
Pb 207.20 Pb.upf
CELL_PARAMETERS angstrom
-1.399 -3.432 -1.830
5.134 -2.481 0.727
-1.969 -2.476 6.149
ATOMIC_POSITIONS crystal
Bi 0.000 0.217 0.635
Bi 0.500 0.711 0.864
Bi 0.000 0.791 0.363
Pt 0.500 0.505 0.500
Pt 0.000 0.996 0.995
Pb 0.500 0.279 0.143
```

---

A plane-wave DFT calculation with PBE was carried out for a relaxed structure of Bi2Pt3Pb2. Values from VASP.

```
&SYSTEM
  ibrav = 0, nat = 14, ntyp = 3
/
ATOMIC_SPECIES
Bi 208.98 Bi.upf
Pb 207.20 Pb.upf
Pt 195.08 Pt.upf
CELL_PARAMETERS angstrom
-1.574 -6.474 -2.829
6.523 -2.393 1.848
-0.465 -2.760 6.575
ATOMIC_POSITIONS crystal
Bi 0.838 0.855 0.372
Bi 0.338 0.645 0.628
Bi 0.662 0.355 0.372
Bi 0.162 0.145 0.628
Pb 0.652 0.887 0.859
Pb 0.152 0.613 0.141
Pb 0.848 0.387 0.859
Pb 0.348 0.113 0.141
Pt 0.004 0.762 0.744
Pt 0.500 0.500 0.000
Pt 0.000 0.000 0.000
Pt 0.496 0.262 0.744
Pt 0.996 0.238 0.256
Pt 0.504 0.738 0.256
```

---

A plane-wave DFT calculation with PBE was carried out for a relaxed structure of Bi4PtPb2. Values from VASP.

```
&SYSTEM
  ibrav = 0, nat = 7, ntyp = 3
/
ATOMIC_SPECIES
Pb 207.20 Pb.upf
Pt 195.08 Pt.upf
Bi 208.98 Bi.upf
CELL_PARAMETERS angstrom
4.226 0.000 0.000
0.000 5.947 -2.014
0.000 0.129 8.802
ATOMIC_POSITIONS crystal
Pb 0.500 0.300 0.450
Pb 0.500 0.843 0.551
Pt 0.000 0.071 0.000
Bi 0.000 0.897 0.258
Bi 0.500 0.761 0.906
Bi 0.000 0.246 0.742
Bi 0.500 0.382 0.094
```

---

A plane-wave DFT calculation with PBE was carried out for a relaxed structure of Bi2PtPb8. Values from VASP.

```
&SYSTEM
  ibrav = 0, nat = 11, ntyp = 3
/
ATOMIC_SPECIES
Pt 195.08 Pt.upf
Pb 207.20 Pb.upf
Bi 208.98 Bi.upf
CELL_PARAMETERS angstrom
-3.168 -1.983 2.187
5.005 -2.101 5.346
-1.335 10.278 3.099
ATOMIC_POSITIONS crystal
Pt 0.500 0.000 0.000
Pb 0.633 0.047 0.265
Pb 0.015 0.767 0.029
Pb 0.791 0.660 0.583
Pb 0.594 0.481 0.187
Pb 0.985 0.233 0.971
Pb 0.367 0.953 0.735
Pb 0.209 0.340 0.417
Pb 0.406 0.519 0.813
Bi 0.178 0.762 0.356
Bi 0.822 0.238 0.644
```

---

A plane-wave DFT calculation with PBE was carried out for a relaxed structure of Bi2PtPb. Values from VASP.

```
&SYSTEM
  ibrav = 0, nat = 16, ntyp = 3
/
ATOMIC_SPECIES
Bi 208.98 Bi.upf
Pb 207.20 Pb.upf
Pt 195.08 Pt.upf
CELL_PARAMETERS angstrom
6.773 0.000 0.000
0.000 6.941 0.000
0.000 0.000 9.233
ATOMIC_POSITIONS crystal
Bi 0.163 0.686 0.066
Bi 0.337 0.186 0.434
Bi 0.663 0.814 0.934
Bi 0.663 0.814 0.566
Bi 0.837 0.314 0.566
Bi 0.163 0.686 0.434
Bi 0.337 0.186 0.066
Bi 0.837 0.314 0.934
Pb 0.124 0.012 0.750
Pb 0.876 0.988 0.250
Pb 0.624 0.488 0.250
Pb 0.376 0.512 0.750
Pt 0.468 0.871 0.250
Pt 0.032 0.371 0.250
Pt 0.532 0.129 0.750
Pt 0.968 0.629 0.750
```

---

The calculation returns the following E_form values, one per record and in order: -0.1; -0.8; -0.5; -0.4; -2.6; -2.2; -1.4; -1.4; -0.1; -0.1; -0.5 eV per formula unit.